[1]
{"formula": "TmHg2Pd3", "functional": "GGA-PBE", "state": "relaxed", "density_g_cm3": 13.3, "e_form_ev_per_atom": -0.540, "relative_energy_mev_per_atom": 0, "lattice": [[3.883, 0.000, 0.000], [0.000, 4.362, 0.000], [0.000, 0.000, 13.146]], "species": ["Tm", "Tm", "Hg", "Hg", "Hg", "Hg", "Pd", "Pd", "Pd", "Pd", "Pd", "Pd"], "fractional_positions": [[0.999, 0.500, 0.500], [0.001, 0.000, 0.000], [0.000, 0.000, 0.667], [0.000, 0.000, 0.333], [0.000, 0.500, 0.167], [0.000, 0.500, 0.833], [0.500, 0.500, 0.664], [0.499, 0.000, 0.500], [0.500, 0.500, 0.336], [0.500, 0.000, 0.164], [0.501, 0.500, 0.000], [0.500, 0.000, 0.836]]}

[2]
{"formula": "Tm12HgPd6", "functional": "GGA-PBE", "state": "relaxed", "density_g_cm3": 9.0, "e_form_ev_per_atom": -0.481, "relative_energy_mev_per_atom": 145, "lattice": [[-6.861, 3.373, 3.358], [-2.452, -7.722, -2.020], [4.960, -1.230, 6.604]], "species": ["Tm", "Tm", "Tm", "Tm", "Tm", "Tm", "Tm", "Tm", "Tm", "Tm", "Tm", "Tm", "Hg", "Pd", "Pd", "Pd", "Pd", "Pd", "Pd"], "fractional_positions": [[0.831, 0.588, 0.445], [0.445, 0.831, 0.588], [0.588, 0.445, 0.831], [0.169, 0.412, 0.555], [0.555, 0.169, 0.412], [0.412, 0.555, 0.169], [0.069, 0.926, 0.330], [0.074, 0.670, 0.931], [0.670, 0.931, 0.074], [0.931, 0.074, 0.670], [0.926, 0.330, 0.069], [0.330, 0.069, 0.926], [0.000, 0.000, 0.000], [0.684, 0.855, 0.382], [0.618, 0.316, 0.145], [0.145, 0.618, 0.316], [0.316, 0.145, 0.618], [0.382, 0.684, 0.855], [0.855, 0.382, 0.684]]}

[3]
{"formula": "TmHg3Pd6", "functional": "GGA-PBE", "state": "relaxed", "density_g_cm3": 12.3, "e_form_ev_per_atom": -0.317, "relative_energy_mev_per_atom": 93, "lattice": [[4.199, 0.000, 0.000], [0.000, 10.864, -1.834], [0.000, -5.921, 9.310]], "species": ["Tm", "Tm", "Hg", "Hg", "Hg", "Hg", "Hg", "Hg", "Pd", "Pd", "Pd", "Pd", "Pd", "Pd", "Pd", "Pd", "Pd", "Pd", "Pd", "Pd"], "fractional_positions": [[0.750, 0.069, 0.739], [0.250, 0.931, 0.261], [0.750, 0.451, 0.784], [0.250, 0.549, 0.216], [0.750, 0.701, 0.494], [0.250, 0.299, 0.506], [0.750, 0.270, 0.202], [0.250, 0.730, 0.798], [0.750, 0.525, 0.594], [0.250, 0.475, 0.406], [0.750, 0.804, 0.026], [0.250, 0.196, 0.974], [0.750, 0.399, 0.996], [0.250, 0.601, 0.004], [0.750, 0.759, 0.255], [0.250, 0.241, 0.745], [0.750, 0.108, 0.507], [0.250, 0.892, 0.493], [0.750, 0.946, 0.884], [0.250, 0.054, 0.116]]}